1.
{"formula": "TaNb2Cu", "functional": "PBE", "state": "optimized geometry", "volume_a3_per_atom": 17.92, "e_form_mev_per_atom": 539, "total_magnetization_mub_per_atom": 0.0000, "de_polymorph_ev_per_atom": 0.479, "dos_ef_per_ev_cell": 11.46, "sg": "I-42d", "cell": [[7.3222, 0.0000, 0.0000], [0.0000, 7.3222, 0.0000], [0.0000, 0.0000, 5.3466]], "species": ["Ta", "Ta", "Ta", "Ta", "Nb", "Nb", "Nb", "Nb", "Nb", "Nb", "Nb", "Nb", "Cu", "Cu", "Cu", "Cu"], "fractional_positions": [[0.0000, 0.0000, 0.0000], [0.0000, 0.5000, 0.2500], [0.5000, 0.0000, 0.7500], [0.5000, 0.5000, 0.5000], [0.2284, 0.2500, 0.6250], [0.2500, 0.7284, 0.8750], [0.2500, 0.7716, 0.3750], [0.2716, 0.2500, 0.1250], [0.7284, 0.7500, 0.1250], [0.7500, 0.2284, 0.3750], [0.7500, 0.2716, 0.8750], [0.7716, 0.7500, 0.6250], [0.0000, 0.0000, 0.5000], [0.0000, 0.5000, 0.7500], [0.5000, 0.0000, 0.2500], [0.5000, 0.5000, 0.0000]]}

***

2.
{"formula": "Dy5Cd2Hg2", "functional": "PBE", "state": "optimized geometry", "volume_a3_per_atom": 27.83, "e_form_mev_per_atom": -273, "total_magnetization_mub_per_atom": 0.0000, "dos_ef_per_ev_cell": 18.11, "sg": "Cmce", "cell": [[8.3677, -3.6226, 0.0000], [8.3677, 3.6226, 0.0000], [0.0000, 0.0000, 8.2627]], "species": ["Dy", "Dy", "Dy", "Dy", "Dy", "Dy", "Dy", "Dy", "Dy", "Dy", "Cd", "Cd", "Cd", "Cd", "Hg", "Hg", "Hg", "Hg"], "fractional_positions": [[0.0000, 0.0000, 0.0000], [0.0383, 0.6849, 0.6822], [0.1849, 0.5383, 0.1822], [0.3151, 0.9617, 0.6822], [0.4617, 0.8151, 0.1822], [0.5000, 0.5000, 0.5000], [0.5383, 0.1849, 0.8178], [0.6849, 0.0383, 0.3178], [0.8151, 0.4617, 0.8178], [0.9617, 0.3151, 0.3178], [0.2162, 0.2162, 0.0000], [0.2838, 0.2838, 0.5000], [0.7162, 0.7162, 0.5000], [0.7838, 0.7838, 0.0000], [0.1141, 0.8859, 0.3560], [0.3859, 0.6141, 0.8560], [0.6141, 0.3859, 0.1440], [0.8859, 0.1141, 0.6440]]}

***

3.
{"formula": "Pm5Tl2Te", "functional": "PBE", "state": "optimized geometry", "volume_a3_per_atom": 32.07, "formation_energy_uncorrected_ev_per_fu": -4.226, "total_magnetization_mub_per_atom": 0.0000, "dos_ef_per_ev_cell": 18.64, "sg": "Pbam", "cell": [[8.6741, 0.0000, 0.0000], [0.0000, 12.7532, 0.0000], [0.0000, 0.0000, 4.6381]], "species": ["Pm", "Pm", "Pm", "Pm", "Pm", "Pm", "Pm", "Pm", "Pm", "Pm", "Tl", "Tl", "Tl", "Tl", "Te", "Te"], "fractional_positions": [[0.0000, 0.0000, 0.0000], [0.1594, 0.2846, 0.0000], [0.2106, 0.5758, 0.5000], [0.2894, 0.0758, 0.5000], [0.3406, 0.7846, 0.0000], [0.5000, 0.5000, 0.0000], [0.6594, 0.2154, 0.0000], [0.7106, 0.9242, 0.5000], [0.7894, 0.4242, 0.5000], [0.8406, 0.7154, 0.0000], [0.0730, 0.8229, 0.5000], [0.4270, 0.3229, 0.5000], [0.5730, 0.6771, 0.5000], [0.9270, 0.1771, 0.5000], [0.0000, 0.5000, 0.0000], [0.5000, 0.0000, 0.0000]]}

***

4.
{"formula": "Ag3Se2", "functional": "PBE", "state": "optimized geometry", "volume_a3_per_atom": 22.89, "formation_energy_uncorrected_ev_per_fu": -0.017, "total_magnetization_mub_per_atom": 0.0000, "de_polymorph_ev_per_atom": 0.007, "dos_ef_per_ev_cell": 5.84, "sg": "Fdd2", "cell": [[0.0000, 7.5412, 2.2338], [6.7929, 0.0000, 2.2338], [6.7929, 7.5412, 0.0000]], "species": ["Ag", "Ag", "Ag", "Ag", "Ag", "Ag", "Se", "Se", "Se", "Se"], "fractional_positions": [[0.0000, 0.0000, 0.0000], [0.2500, 0.2500, 0.2500], [0.3459, 0.6642, 0.6607], [0.5893, 0.9209, 0.9041], [0.6642, 0.3459, 0.3291], [0.9209, 0.5893, 0.5858], [0.1769, 0.3044, 0.5174], [0.2487, 0.7326, 0.9456], [0.3044, 0.1769, 0.0013], [0.7326, 0.2487, 0.0731]]}

***

5.
{"formula": "CuIrW2", "functional": "PBE", "state": "optimized geometry", "volume_a3_per_atom": 15.24, "e_form_mev_per_atom": 345, "total_magnetization_mub_per_atom": 0.0000, "de_polymorph_ev_per_atom": 0.314, "dos_ef_per_ev_cell": 3.29, "sg": "P4/mmm", "cell": [[3.3868, 0.0000, 0.0000], [0.0000, 3.3868, 0.0000], [0.0000, 0.0000, 5.3161]], "species": ["Cu", "Ir", "W", "W"], "fractional_positions": [[0.0000, 0.0000, 0.0000], [0.0000, 0.0000, 0.5000], [0.5000, 0.5000, 0.2622], [0.5000, 0.5000, 0.7378]]}

***

6.
{"formula": "K14Pb2O9", "functional": "PBE", "state": "optimized geometry", "volume_a3_per_atom": 23.42, "formation_energy_uncorrected_ev_per_fu": -26.975, "total_magnetization_mub_per_atom": 0.0000, "dos_ef_per_ev_cell": 0.00, "sg": "P-3", "cell": [[7.8853, 0.0000, 0.0000], [-3.9427, 6.8289, 0.0000], [0.0000, 0.0000, 10.8753]], "species": ["K", "K", "K", "K", "K", "K", "K", "K", "K", "K", "K", "K", "K", "K", "Pb", "Pb", "O", "O", "O", "O", "O", "O", "O", "O", "O"], "fractional_positions": [[0.0000, 0.0000, 0.2481], [0.0000, 0.0000, 0.7519], [0.0381, 0.6794, 0.4085], [0.0677, 0.3781, 0.0916], [0.3104, 0.9323, 0.0916], [0.3206, 0.3587, 0.4085], [0.3587, 0.0381, 0.5915], [0.3781, 0.3104, 0.9084], [0.6219, 0.6896, 0.0916], [0.6413, 0.9619, 0.4085], [0.6794, 0.6413, 0.5915], [0.6896, 0.0677, 0.9084], [0.9323, 0.6219, 0.9084], [0.9619, 0.3206, 0.5915], [0.3333, 0.6667, 0.7641], [0.6667, 0.3333, 0.2359], [0.0000, 0.0000, 0.5000], [0.0542, 0.3556, 0.8370], [0.3014, 0.9458, 0.8370], [0.3333, 0.6667, 0.5425], [0.3556, 0.3014, 0.1630], [0.6444, 0.6986, 0.8370], [0.6667, 0.3333, 0.4575], [0.6986, 0.0542, 0.1630], [0.9458, 0.6444, 0.1630]]}

***

7.
{"formula": "TiGaAs2", "functional": "PBE", "state": "optimized geometry", "volume_a3_per_atom": 19.01, "e_form_mev_per_atom": -393, "total_magnetization_mub_per_atom": 0.0000, "dos_ef_per_ev_cell": 5.51, "sg": "R-3m", "cell": [[3.6054, 0.0000, 0.0000], [-1.8027, 3.1224, 0.0000], [0.0000, 0.0000, 20.2634]], "species": ["Ti", "Ti", "Ti", "Ga", "Ga", "Ga", "As", "As", "As", "As", "As", "As"], "fractional_positions": [[0.0000, 0.0000, 0.0000], [0.3333, 0.6667, 0.6667], [0.6667, 0.3333, 0.3333], [0.0000, 0.0000, 0.5000], [0.3333, 0.6667, 0.1667], [0.6667, 0.3333, 0.8333], [0.0000, 0.0000, 0.2555], [0.0000, 0.0000, 0.7445], [0.3333, 0.6667, 0.4112], [0.3333, 0.6667, 0.9222], [0.6667, 0.3333, 0.0778], [0.6667, 0.3333, 0.5888]]}

***

8.
{"formula": "PmUGeSb", "functional": "PBE", "state": "optimized geometry", "volume_a3_per_atom": 25.34, "formation_energy_uncorrected_ev_per_fu": -1.330, "total_magnetization_mub_per_atom": 0.6988, "dos_ef_per_ev_cell": 20.00, "sg": "F-43m", "cell": [[7.4011, 0.0000, 0.0000], [0.0000, 7.4011, 0.0000], [0.0000, 0.0000, 7.4011]], "species": ["Pm", "Pm", "Pm", "Pm", "U", "U", "U", "U", "Ge", "Ge", "Ge", "Ge", "Sb", "Sb", "Sb", "Sb"], "fractional_positions": [[0.0000, 0.0000, 0.0000], [0.0000, 0.5000, 0.5000], [0.5000, 0.0000, 0.5000], [0.5000, 0.5000, 0.0000], [0.0000, 0.0000, 0.5000], [0.0000, 0.5000, 0.0000], [0.5000, 0.0000, 0.0000], [0.5000, 0.5000, 0.5000], [0.2500, 0.2500, 0.2500], [0.2500, 0.7500, 0.7500], [0.7500, 0.2500, 0.7500], [0.7500, 0.7500, 0.2500], [0.2500, 0.2500, 0.7500], [0.2500, 0.7500, 0.2500], [0.7500, 0.2500, 0.2500], [0.7500, 0.7500, 0.7500]]}

***

9.
{"formula": "Bi", "functional": "PBE", "state": "optimized geometry", "volume_a3_per_atom": 31.67, "e_form_mev_per_atom": 161, "total_magnetization_mub_per_atom": 0.0000, "de_polymorph_ev_per_atom": 0.161, "dos_ef_per_ev_cell": 3.02, "sg": "P6_3/mmc", "cell": [[3.5199, 0.0000, 0.0000], [-1.7599, 3.0483, 0.0000], [0.0000, 0.0000, 11.8079]], "species": ["Bi", "Bi", "Bi", "Bi"], "fractional_positions": [[0.0000, 0.0000, 0.0000], [0.0000, 0.0000, 0.5000], [0.3333, 0.6667, 0.2500], [0.6667, 0.3333, 0.7500]]}

***

10.
{"formula": "Nd5SmDyY2", "functional": "PBE", "state": "optimized geometry", "volume_a3_per_atom": 34.88, "e_form_mev_per_atom": 140, "total_magnetization_mub_per_atom": 0.0000, "dos_ef_per_ev_cell": 29.01, "sg": "Cmc2_1", "cell": [[2.8517, -10.2501, 0.0000], [2.8517, 10.2501, 0.0000], [0.0000, 0.0000, 10.7405]], "species": ["Nd", "Nd", "Nd", "Nd", "Nd", "Nd", "Nd", "Nd", "Nd", "Nd", "Sm", "Sm", "Dy", "Dy", "Y", "Y", "Y", "Y"], "fractional_positions": [[0.0175, 0.9825, 0.5000], [0.2816, 0.7184, 0.7877], [0.2964, 0.7036, 0.1818], [0.3919, 0.6081, 0.5032], [0.4799, 0.5201, 0.2218], [0.5201, 0.4799, 0.7218], [0.6081, 0.3919, 0.0032], [0.7036, 0.2964, 0.6818], [0.7184, 0.2816, 0.2877], [0.9825, 0.0175, 0.0000], [0.2015, 0.7985, 0.4876], [0.7985, 0.2015, 0.9876], [0.4099, 0.5901, 0.9374], [0.5901, 0.4099, 0.4374], [0.1110, 0.8890, 0.2150], [0.1166, 0.8834, 0.7965], [0.8834, 0.1166, 0.2965], [0.8890, 0.1110, 0.7150]]}

***

11.
{"formula": "Al2CdCu", "functional": "PBE", "state": "optimized geometry", "volume_a3_per_atom": 16.89, "e_form_mev_per_atom": 38, "total_magnetization_mub_per_atom": 0.0000, "dos_ef_per_ev_cell": 1.38, "sg": "Pmm2", "cell": [[2.8611, 0.0000, 0.0000], [0.0000, 3.8934, 0.0000], [0.0000, 0.0000, 6.0634]], "species": ["Al", "Al", "Cd", "Cu"], "fractional_positions": [[0.0000, 0.0000, 0.0000], [0.5000, 0.5000, 0.2450], [0.0000, 0.0000, 0.5299], [0.5000, 0.5000, 0.8201]]}

***

12.
{"formula": "Dy2Ga3Cu5", "functional": "PBE", "state": "optimized geometry", "volume_a3_per_atom": 17.00, "e_form_mev_per_atom": -294, "total_magnetization_mub_per_atom": 0.0000, "de_polymorph_ev_per_atom": 0.058, "dos_ef_per_ev_cell": 6.63, "sg": "P-4m2", "cell": [[3.9963, 0.0000, 0.0000], [0.0000, 3.9963, 0.0000], [0.0000, 0.0000, 10.6455]], "species": ["Dy", "Dy", "Ga", "Ga", "Ga", "Cu", "Cu", "Cu", "Cu", "Cu"], "fractional_positions": [[0.0000, 0.5000, 0.2379], [0.5000, 0.0000, 0.7621], [0.0000, 0.5000, 0.6448], [0.5000, 0.0000, 0.3552], [0.5000, 0.5000, 0.5000], [0.0000, 0.0000, 0.0000], [0.0000, 0.0000, 0.5000], [0.0000, 0.5000, 0.8672], [0.5000, 0.0000, 0.1328], [0.5000, 0.5000, 0.0000]]}